Entry 1:
Material: Pr2Dy2YTh2
Method: DFT, PBE-GGA
State: relaxed

Unit cell a=6.1067 b=6.1067 c=11.9987 alpha=102.16 beta=102.16 gamma=32.79
Last column: nearest neighbours and their distance in Å.
Sites, in units of the cell vectors:
Pr1 0.2041 0.2041 0.3599  1 Dy 3.42, 4 Pr 3.45-3.72, 3 Y 3.51-3.64, 3 Th 3.52-3.62
Pr2 0.7959 0.7959 0.6401  1 Dy 3.42, 4 Pr 3.45-3.72, 3 Y 3.51-3.64, 3 Th 3.52-3.62
Dy1 0.1528 0.1528 0.0679  4 Th 3.38-3.75, 1 Pr 3.42, 5 Dy 3.45-3.59
Dy2 0.8472 0.8472 0.9321  4 Th 3.38-3.75, 1 Pr 3.42, 5 Dy 3.45-3.59
Y1 0.5000 0.5000 0.5000  2 Y 3.45, 6 Pr 3.51-3.64, 4 Th 3.71
Th1 0.0938 0.0938 0.7788  4 Dy 3.38-3.75, 2 Th 3.45, 3 Pr 3.52-3.62, 2 Y 3.71
Th2 0.9062 0.9062 0.2212  4 Dy 3.38-3.75, 2 Th 3.45, 3 Pr 3.52-3.62, 2 Y 3.71

- spin magnetization (μB/cell) = 0.00
- raw total energy (eV for the cell shown) = -38.7

***

Entry 2:
Material: LiPmTi2O6
Method: DFT, PBE-GGA
State: relaxed

Unit cell a=7.0901 b=7.0901 c=6.2441 alpha=106.23 beta=106.23 gamma=97.43
Last column: nearest neighbours and their distance in Å.
Sites, in units of the cell vectors:
Li1 0.2019 0.7981 0.7500  4 O 2.04-2.06
Li2 0.7981 0.2019 0.2500  4 O 2.04-2.06
Pm1 0.1032 0.8968 0.2500  6 O 2.35-2.41
Pm2 0.8968 0.1032 0.7500  6 O 2.35-2.41
Ti1 0.2687 0.4328 0.3142  4 O 1.78-1.90
Ti2 0.4328 0.2687 0.8142  4 O 1.78-1.90
Ti3 0.5672 0.7313 0.1858  4 O 1.78-1.90
Ti4 0.7313 0.5672 0.6858  4 O 1.78-1.90
O1 0.0609 0.2043 0.1695  1 Ti 1.85, 1 Li 2.06
O2 0.1536 0.6355 0.4068  1 Ti 1.78
O3 0.2043 0.0609 0.6695  1 Ti 1.85, 1 Li 2.06
O4 0.3359 0.4292 0.0403  2 Ti 1.89-1.90
O5 0.3645 0.8464 0.0932  1 Ti 1.78
O6 0.4292 0.3359 0.5403  2 Ti 1.89-1.90
O7 0.5708 0.6641 0.4597  2 Ti 1.89-1.90
O8 0.6355 0.1536 0.9068  1 Ti 1.78
O9 0.6641 0.5708 0.9597  2 Ti 1.89-1.90
O10 0.7957 0.9391 0.3305  1 Ti 1.85, 1 Li 2.06
O11 0.8464 0.3645 0.5932  1 Ti 1.78
O12 0.9391 0.7957 0.8305  1 Ti 1.85, 1 Li 2.06

- formation energy (no corrections) (kJ/mol of formula units) = -2914
- spin magnetization (μB/cell) = 0.00
- raw total energy (eV for the cell shown) = -164.8

***

Entry 3:
Material: NdPa2P3
Method: DFT, PBE-GGA
State: relaxed

Unit cell a=8.0555 b=5.6908 c=12.0444 alpha=90.00 beta=90.00 gamma=90.00
Last column: nearest neighbours and their distance in Å.
Sites, in units of the cell vectors:
Nd1 0.1244 0.2500 0.0791  6 P 2.85-2.90
Nd2 0.3756 0.7500 0.5791  6 P 2.85-2.90
Nd3 0.6244 0.2500 0.4209  6 P 2.85-2.90
Nd4 0.8756 0.7500 0.9209  6 P 2.85-2.90
Pa1 0.1231 0.2500 0.4160  6 P 2.83-2.85
Pa2 0.1245 0.2500 0.7528  6 P 2.78-2.85
Pa3 0.3755 0.7500 0.2528  6 P 2.78-2.85
Pa4 0.3769 0.7500 0.9160  6 P 2.83-2.85
Pa5 0.6231 0.2500 0.0840  6 P 2.83-2.85
Pa6 0.6245 0.2500 0.7472  6 P 2.78-2.85
Pa7 0.8755 0.7500 0.2472  6 P 2.78-2.85
Pa8 0.8769 0.7500 0.5840  6 P 2.83-2.85
P1 0.1187 0.7500 0.4129  5 Pa 2.80-2.85, 1 Nd 2.88
P2 0.1261 0.7500 0.7512  4 Pa 2.83-2.85, 2 Nd 2.87-2.89
P3 0.1347 0.7500 0.0876  3 Pa 2.78-2.84, 3 Nd 2.85-2.90
P4 0.3653 0.2500 0.5876  3 Pa 2.78-2.84, 3 Nd 2.85-2.90
P5 0.3739 0.2500 0.2512  4 Pa 2.83-2.85, 2 Nd 2.87-2.89
P6 0.3813 0.2500 0.9129  5 Pa 2.80-2.85, 1 Nd 2.88
P7 0.6187 0.7500 0.0871  5 Pa 2.80-2.85, 1 Nd 2.88
P8 0.6261 0.7500 0.7488  4 Pa 2.83-2.85, 2 Nd 2.87-2.89
P9 0.6347 0.7500 0.4124  3 Pa 2.78-2.84, 3 Nd 2.85-2.90
P10 0.8653 0.2500 0.9124  3 Pa 2.78-2.84, 3 Nd 2.85-2.90
P11 0.8739 0.2500 0.2488  4 Pa 2.83-2.85, 2 Nd 2.87-2.89
P12 0.8813 0.2500 0.5871  5 Pa 2.80-2.85, 1 Nd 2.88

- spin magnetization (μB/cell) = 0.00
- raw total energy (eV for the cell shown) = -193.0

***

Entry 4:
Material: NaMg7Cd5
Method: DFT, PBE-GGA
State: relaxed

Unit cell a=7.7775 b=7.7775 c=7.7775 alpha=135.38 beta=98.22 gamma=98.35
Last column: nearest neighbours and their distance in Å.
Sites, in units of the cell vectors:
Na1 0.0000 0.0000 0.0000  10 Mg 3.54-3.71, 10 Cd 3.69-3.93
Mg1 0.2165 0.5042 0.7123  5 Cd 2.96-3.06, 4 Mg 3.15-3.27
Mg2 0.3480 0.3480 0.0000  3 Mg 3.03-3.33, 6 Cd 3.12-3.24
Mg3 0.3501 0.9998 0.3504  4 Mg 3.05-3.27, 5 Cd 3.09-3.25
Mg4 0.6459 0.6459 0.0000  5 Mg 3.03-3.26, 4 Cd 3.11
Mg5 0.6494 0.9998 0.6496  4 Mg 3.05-3.27, 5 Cd 3.09-3.25
Mg6 0.7785 0.2785 0.5000  4 Cd 2.92, 6 Mg 3.15-3.25
Mg7 0.7920 0.5042 0.2877  5 Cd 2.96-3.06, 4 Mg 3.15-3.27
Cd1 0.0001 0.0039 0.4970  7 Mg 2.92-3.13, 3 Cd 2.95-3.00
Cd2 0.0001 0.5031 0.9962  7 Mg 2.92-3.13, 3 Cd 2.95-3.00
Cd3 0.2178 0.7178 0.5000  4 Cd 3.00, 6 Mg 3.06-3.25
Cd4 0.5070 0.0039 0.0038  7 Mg 2.92-3.13, 3 Cd 2.95-3.00
Cd5 0.5070 0.5031 0.5030  7 Mg 2.92-3.13, 3 Cd 2.95-3.00

- spin magnetization (μB/cell) = 0.00
- raw total energy (eV for the cell shown) = -17.7

***

Entry 5:
Material: Tl2OsCl5
Method: DFT, PBE-GGA
State: relaxed

Unit cell a=6.8813 b=6.8813 c=6.8813 alpha=115.63 beta=115.63 gamma=97.76
Last column: nearest neighbours and their distance in Å.
Sites, in units of the cell vectors:
Tl1 0.0000 0.5000 0.5000  10 Cl 3.40-3.67
Tl2 0.5000 0.0000 0.5000  10 Cl 3.40-3.67
Os1 0.2435 0.2435 0.0000  5 Cl 2.26-2.35
Cl1 0.0327 0.0327 0.5473  1 Os 2.35
Cl2 0.0327 0.4854 0.0000  1 Os 2.35
Cl3 0.4854 0.0327 0.0000  1 Os 2.35
Cl4 0.4854 0.4854 0.4527  1 Os 2.35
Cl5 0.9939 0.9939 0.0000  1 Os 2.26

- formation energy (no corrections) (kJ/mol of formula units) = -422
- spin magnetization (μB/cell) = 1.02
- raw total energy (eV for the cell shown) = -29.6

***

Entry 6:
Material: LiTbDy
Method: DFT, PBE-GGA
State: relaxed

Unit cell a=3.4739 b=3.4739 c=8.3301 alpha=90.00 beta=90.00 gamma=120.00
Last column: nearest neighbours and their distance in Å.
Sites, in units of the cell vectors:
Li1 0.0000 0.0000 0.0000  3 Dy 3.40, 3 Tb 3.41, 6 Li 3.47
Tb1 0.6667 0.3333 0.3315  3 Li 3.41, 3 Dy 3.46, 6 Tb 3.47
Dy1 0.3333 0.6667 0.6701  3 Li 3.40, 3 Tb 3.46, 6 Dy 3.47

- offset from the most stable computed form (meV per atom) = 58
- spin magnetization (μB/cell) = 0.00
- raw total energy (eV for the cell shown) = -10.8

***

Entry 7:
Material: TePd3Pt
Method: DFT, PBE-GGA
State: relaxed

Unit cell a=4.4949 b=4.6041 c=9.6051 alpha=101.61 beta=90.27 gamma=118.91
Last column: nearest neighbours and their distance in Å.
Sites, in units of the cell vectors:
Te1 0.0000 0.0000 0.0000  8 Pd 2.64-2.78
Te2 0.5000 0.0000 0.5000  2 Pt 2.65, 6 Pd 2.77-2.78
Pd1 0.0942 0.1906 0.2827  1 Te 2.64, 3 Pt 2.70-2.72, 4 Pd 2.88-2.90
Pd2 0.1980 0.3964 0.5908  3 Te 2.77-2.78, 7 Pd 2.88-3.09
Pd3 0.3025 0.6039 0.9088  3 Te 2.77-2.78, 4 Pt 2.88-2.91, 3 Pd 2.97-3.10
Pd4 0.6975 0.3961 0.0912  3 Te 2.77-2.78, 4 Pt 2.88-2.91, 3 Pd 2.97-3.10
Pd5 0.8020 0.6036 0.4092  3 Te 2.77-2.78, 7 Pd 2.88-3.09
Pd6 0.9058 0.8094 0.7173  1 Te 2.64, 3 Pt 2.70-2.72, 4 Pd 2.88-2.90
Pt1 0.4040 0.8064 0.2171  1 Te 2.65, 7 Pd 2.70-2.91
Pt2 0.5960 0.1936 0.7829  1 Te 2.65, 7 Pd 2.70-2.91

- formation energy (no corrections) (kJ/mol of formula units) = -76
- offset from the most stable computed form (meV per atom) = 0
- spin magnetization (μB/cell) = 0.00
- raw total energy (eV for the cell shown) = -51.1

***

Entry 8:
Material: YEr2Ag
Method: DFT, PBE-GGA
State: relaxed

Unit cell a=10.4455 b=10.4455 c=10.4455 alpha=19.79 beta=19.79 gamma=19.79
Last column: nearest neighbours and their distance in Å.
Sites, in units of the cell vectors:
Y1 0.0000 0.0000 0.0000  6 Er 3.51-3.53, 6 Y 3.59
Er1 0.5737 0.5737 0.5737  3 Ag 3.08
Er2 0.7591 0.7591 0.7591  3 Ag 3.07
Ag1 0.1662 0.1662 0.1662  6 Er 3.07-3.08

- offset from the most stable computed form (meV per atom) = 124
- spin magnetization (μB/cell) = 0.34
- raw total energy (eV for the cell shown) = -18.5

***

Entry 9:
Material: BeAs2BrN
Method: DFT, PBE-GGA
State: relaxed

Unit cell a=4.4900 b=4.4900 c=4.9092 alpha=90.00 beta=90.00 gamma=90.00
Last column: nearest neighbours and their distance in Å.
Sites, in units of the cell vectors:
Be1 0.0000 0.0000 0.0000  4 As 2.24, 2 Br 2.45
As1 0.0000 0.5000 0.0000  2 Be 2.24
As2 0.5000 0.0000 0.0000  2 Be 2.24
Br1 0.0000 0.0000 0.5000  2 Be 2.45
N1 0.5000 0.5000 0.5000  4 Br 3.17, 8 As 3.33

- formation energy (no corrections) (kJ/mol of formula units) = 662
- offset from the most stable computed form (meV per atom) = 134
- spin magnetization (μB/cell) = 1.98
- raw total energy (eV for the cell shown) = -16.2

***

Entry 10:
Material: Cs2NaPd
Method: DFT, PBE-GGA
State: relaxed

Unit cell a=9.6192 b=9.6192 c=9.6192 alpha=95.02 beta=95.02 gamma=145.59
Last column: nearest neighbours and their distance in Å.
Sites, in units of the cell vectors:
Cs1 0.3750 0.2098 0.3348  2 Pd 3.50
Cs2 0.7902 0.1250 0.1652  2 Pd 3.50
Cs3 0.8750 0.0402 0.6652  2 Pd 3.50
Cs4 0.9598 0.6250 0.8348  2 Pd 3.50
Na1 0.2500 0.7500 0.5000  2 Pd 2.85
Na2 0.5000 0.5000 0.0000  2 Pd 2.85
Pd1 0.0000 0.0000 0.0000  2 Na 2.85
Pd2 0.7500 0.2500 0.5000  2 Na 2.85

- spin magnetization (μB/cell) = 0.00
- raw total energy (eV for the cell shown) = -15.7

***

Entry 11:
Material: LiMgRuF6
Method: DFT, PBE-GGA
State: relaxed

Unit cell a=5.2391 b=5.2391 c=8.9716 alpha=90.00 beta=90.00 gamma=120.00
Last column: nearest neighbours and their distance in Å.
Sites, in units of the cell vectors:
Li1 0.0000 0.0000 0.0000  6 F 2.14
Li2 0.0000 0.0000 0.5000  6 F 2.14
Mg1 0.3333 0.6667 0.2500  6 F 2.02
Mg2 0.6667 0.3333 0.7500  6 F 2.02
Ru1 0.3333 0.6667 0.7500  6 F 2.03
Ru2 0.6667 0.3333 0.2500  6 F 2.03
F1 0.0019 0.3420 0.1320  1 Mg 2.02, 1 Ru 2.03, 1 Li 2.14
F2 0.0019 0.6599 0.3680  1 Mg 2.02, 1 Ru 2.03, 1 Li 2.14
F3 0.3401 0.3420 0.3680  1 Mg 2.02, 1 Ru 2.03, 1 Li 2.14
F4 0.3401 0.9981 0.1320  1 Mg 2.02, 1 Ru 2.03, 1 Li 2.14
F5 0.3420 0.0019 0.6320  1 Mg 2.02, 1 Ru 2.03, 1 Li 2.14
F6 0.3420 0.3401 0.8680  1 Mg 2.02, 1 Ru 2.03, 1 Li 2.14
F7 0.6580 0.6599 0.1320  1 Mg 2.02, 1 Ru 2.03, 1 Li 2.14
F8 0.6580 0.9981 0.3680  1 Mg 2.02, 1 Ru 2.03, 1 Li 2.14
F9 0.6599 0.0019 0.8680  1 Mg 2.02, 1 Ru 2.03, 1 Li 2.14
F10 0.6599 0.6580 0.6320  1 Mg 2.02, 1 Ru 2.03, 1 Li 2.14
F11 0.9981 0.3401 0.6320  1 Mg 2.02, 1 Ru 2.03, 1 Li 2.14
F12 0.9981 0.6580 0.8680  1 Mg 2.02, 1 Ru 2.03, 1 Li 2.14

- formation energy (no corrections) (kJ/mol of formula units) = -2158
- spin magnetization (μB/cell) = 2.01
- raw total energy (eV for the cell shown) = -92.8

***

Question: Number 8 is which compound?
Answer: YEr2Ag